No. 1
Here is a geometry-optimized TiAl2Rh structure from the Alexandria database. Energies are from PBE. Values from VASP.

Results
Calculated formation energy   -0.262 eV/atom
Calculated volume   16.56 Å³/atom
Magnetization   0.0 μB per formula unit
Space-group type   I-42d, No. 122

Geometry as Quantum ESPRESSO input:
```
&SYSTEM
  ibrav = 0, nat = 8, ntyp = 3
/
ATOMIC_SPECIES
Ti 47.87 Ti.upf
Al 26.98 Al.upf
Rh 102.91 Rh.upf
CELL_PARAMETERS angstrom
-3.524 3.524 2.668
3.524 -3.524 2.668
3.524 3.524 -2.668
ATOMIC_POSITIONS crystal
Ti 0.000 0.000 0.000
Ti 0.750 0.250 0.500
Al 0.156 0.125 0.531
Al 0.375 0.844 0.969
Al 0.594 0.625 0.469
Al 0.875 0.406 0.031
Rh 0.250 0.750 0.500
Rh 0.500 0.500 0.000
```

No. 2
Here is a geometry-optimized Ti2AlRh2 structure from the Alexandria database. Energies are from PBE. Values from VASP.

Results
Calculated formation energy   -0.668 eV/atom
Calculated volume   15.74 Å³/atom
Magnetization   0.0 μB per formula unit
Space-group type   P4/mbm, No. 127

Geometry as Quantum ESPRESSO input:
```
&SYSTEM
  ibrav = 0, nat = 10, ntyp = 3
/
ATOMIC_SPECIES
Ti 47.87 Ti.upf
Al 26.98 Al.upf
Rh 102.91 Rh.upf
CELL_PARAMETERS angstrom
7.266 0.000 0.000
0.000 7.266 0.000
0.000 0.000 2.981
ATOMIC_POSITIONS crystal
Ti 0.166 0.334 0.000
Ti 0.334 0.834 0.000
Ti 0.666 0.166 0.000
Ti 0.834 0.666 0.000
Al 0.000 0.000 0.500
Al 0.500 0.500 0.500
Rh 0.135 0.635 0.500
Rh 0.365 0.135 0.500
Rh 0.635 0.865 0.500
Rh 0.865 0.365 0.500
```